{"formula": "Ag5Te2Cl", "functional": "meta-GGA SCAN", "state": "single point on PBEsol structure", "dft_energy_ha_per_atom": -1.107, "formation_energy_uncorrected_ev_per_fu": -1.72, "crystal_system": "orthorhombic", "lattice_angstrom": [[-2.892, 1.709, -6.740], [-9.487, -9.667, 1.620], [-8.279, 9.107, 5.862]], "species": ["Ag", "Ag", "Ag", "Ag", "Ag", "Ag", "Ag", "Ag", "Ag", "Ag", "Ag", "Ag", "Ag", "Ag", "Ag", "Ag", "Ag", "Ag", "Ag", "Ag", "Ag", "Ag", "Ag", "Ag", "Ag", "Ag", "Ag", "Ag", "Ag", "Ag", "Ag", "Ag", "Ag", "Ag", "Ag", "Ag", "Ag", "Ag", "Ag", "Ag", "Te", "Te", "Te", "Te", "Te", "Te", "Te", "Te", "Te", "Te", "Te", "Te", "Te", "Te", "Te", "Te", "Cl", "Cl", "Cl", "Cl", "Cl", "Cl", "Cl", "Cl"], "fractional_positions": [[0.890, 0.931, 0.921], [0.018, 0.640, 0.113], [0.110, 0.069, 0.079], [0.482, 0.360, 0.613], [0.633, 0.888, 0.067], [0.610, 0.431, 0.421], [0.133, 0.612, 0.433], [0.867, 0.388, 0.567], [0.610, 0.069, 0.421], [0.367, 0.112, 0.933], [0.390, 0.931, 0.579], [0.567, 0.750, 0.568], [0.518, 0.640, 0.387], [0.731, 0.355, 0.211], [0.067, 0.750, 0.932], [0.269, 0.855, 0.789], [0.433, 0.250, 0.432], [0.933, 0.250, 0.068], [0.143, 0.250, 0.611], [0.890, 0.569, 0.921], [0.643, 0.250, 0.889], [0.769, 0.855, 0.711], [0.633, 0.612, 0.067], [0.018, 0.860, 0.113], [0.110, 0.431, 0.079], [0.357, 0.750, 0.111], [0.269, 0.645, 0.789], [0.367, 0.388, 0.933], [0.231, 0.145, 0.289], [0.857, 0.750, 0.389], [0.982, 0.360, 0.887], [0.731, 0.145, 0.211], [0.482, 0.140, 0.613], [0.390, 0.569, 0.579], [0.518, 0.860, 0.387], [0.133, 0.888, 0.433], [0.769, 0.645, 0.711], [0.867, 0.112, 0.567], [0.982, 0.140, 0.887], [0.231, 0.355, 0.289], [0.752, 0.250, 0.695], [0.208, 0.414, 0.485], [0.296, 0.250, 0.120], [0.792, 0.914, 0.515], [0.796, 0.250, 0.380], [0.252, 0.250, 0.805], [0.708, 0.086, 0.015], [0.204, 0.750, 0.620], [0.292, 0.586, 0.985], [0.292, 0.914, 0.985], [0.708, 0.414, 0.015], [0.704, 0.750, 0.880], [0.208, 0.086, 0.485], [0.748, 0.750, 0.195], [0.248, 0.750, 0.305], [0.792, 0.586, 0.515], [0.507, 0.503, 0.750], [0.993, 0.497, 0.250], [0.993, 0.003, 0.250], [0.007, 0.997, 0.750], [0.007, 0.503, 0.750], [0.493, 0.497, 0.250], [0.493, 0.003, 0.250], [0.507, 0.997, 0.750]]}